Record 1
First-principles (GGA-PBE) data for a geometry-optimized Pm5Dy3Sc structure, as listed in the Alexandria database.

Volume, A^3/atom: 33.43
DFT total energy, eV per atom: -4.564
DOS(E_F), states/eV per atom: 1.5159

Geometry as POSCAR:
```
Pm5Dy3Sc
1.0
-4.658 4.658 6.933
4.658 -4.658 6.933
4.658 4.658 -6.933
Pm Dy Sc
10 6 2
Cartesian
0.000 0.000 0.000
6.498 1.840 -1.856
1.840 2.819 -1.856
6.498 1.840 1.856
1.840 2.819 1.856
0.000 0.000 6.933
2.819 1.840 5.077
-1.840 2.819 5.077
2.819 1.840 8.789
-1.840 2.819 8.789
3.627 1.032 0.000
0.000 0.000 3.467
3.627 -1.032 6.933
1.032 5.690 0.000
0.000 0.000 10.400
1.032 3.627 6.933
4.658 0.000 3.467
0.000 4.658 3.467
```

***

Record 2
First-principles (GGA-PBE) data for a geometry-optimized Cd2CoNi structure, as listed in the Alexandria database.

Volume, A^3/atom: 15.37
DOS(E_F), states/eV per atom: 1.1719
ΔE to the lowest computed polymorph, eV per formula unit: 0.33

Geometry as POSCAR:
```
Cd2CoNi
1.0
2.961 0.000 0.000
0.000 3.451 0.000
-0.012 0.000 6.016
Cd Co Ni
2 1 1
Cartesian
-0.003 0.000 1.496
2.952 0.000 4.521
1.474 1.725 3.008
1.481 1.725 0.000
```

***

Record 3
First-principles (GGA-PBE) data for a geometry-optimized LuPuIr structure, as listed in the Alexandria database.

Volume, A^3/atom: 23.42
DOS(E_F), states/eV per atom: 2.7940
ΔE to the lowest computed polymorph, eV per formula unit: 0.19

Geometry as POSCAR:
```
LuPuIr
1.0
-1.694 1.694 6.124
1.694 -1.694 6.124
1.694 1.694 -6.124
Lu Pu Ir
1 1 1
Cartesian
0.000 0.000 0.000
0.000 0.000 8.915
0.000 0.000 4.546
```

***

Record 4
First-principles (GGA-PBE) data for a geometry-optimized LaNd2Tm structure, as listed in the Alexandria database.

Volume, A^3/atom: 34.47
DOS(E_F), states/eV per atom: 1.7617
ΔE to the lowest computed polymorph, eV per formula unit: 0.04

Geometry as POSCAR:
```
LaNd2Tm
1.0
3.652 0.000 0.000
0.000 3.652 0.000
0.000 0.000 10.336
La Nd Tm
1 2 1
Cartesian
0.000 0.000 0.000
1.826 1.826 2.669
1.826 1.826 7.667
0.000 0.000 5.168
```

***

Record 5
First-principles (GGA-PBE) data for a geometry-optimized Re2AsC structure, as listed in the Alexandria database.

Volume, A^3/atom: 16.03
DOS(E_F), states/eV per atom: 1.0467
ΔE to the lowest computed polymorph, eV per formula unit: 0.00

Geometry as POSCAR:
```
Re2AsC
1.0
-2.284 2.284 6.143
2.284 -2.284 6.143
2.284 2.284 -6.143
Re As C
4 2 2
Cartesian
3.427 0.704 -1.536
0.704 1.142 1.536
-1.142 1.581 4.607
1.581 1.142 7.679
2.284 0.000 3.071
0.000 0.000 6.143
0.000 0.000 0.000
0.000 2.284 3.071
```

***

Record 6
First-principles (GGA-PBE) data for a geometry-optimized LaPuRh structure, as listed in the Alexandria database.

Volume, A^3/atom: 26.09
DOS(E_F), states/eV per atom: 2.7266
ΔE to the lowest computed polymorph, eV per formula unit: 0.61

Geometry as POSCAR:
```
LaPuRh
1.0
4.596 0.000 0.000
-2.298 3.980 0.000
0.000 0.000 4.279
La Pu Rh
1 1 1
Cartesian
0.000 0.000 0.000
2.298 1.327 2.139
0.000 2.654 2.139
```

***

Record 7
First-principles (GGA-PBE) data for a geometry-optimized HOs3Br structure, as listed in the Alexandria database.

Volume, A^3/atom: 18.97
DOS(E_F), states/eV per atom: 1.3372
ΔE to the lowest computed polymorph, eV per formula unit: 8.65

Geometry as POSCAR:
```
HOs3Br
1.0
4.560 0.000 0.000
0.000 4.560 0.000
0.000 0.000 4.560
H Os Br
1 3 1
Cartesian
0.000 0.000 0.000
0.000 2.280 2.280
2.280 0.000 2.280
2.280 2.280 0.000
2.280 2.280 2.280
```

***

Record 8
First-principles (GGA-PBE) data for a geometry-optimized SrSF2 structure, as listed in the Alexandria database.

Volume, A^3/atom: 18.34
DOS(E_F), states/eV per atom: 0.1234
ΔE to the lowest computed polymorph, eV per formula unit: 0.84
E_form (uncorrected), meV per atom: -1968

Geometry as POSCAR:
```
SrSF2
1.0
-2.157 2.157 7.887
2.157 -2.157 7.887
2.157 2.157 -7.887
Sr S F
2 2 4
Cartesian
0.000 0.000 0.000
0.000 2.157 3.943
2.157 0.000 3.943
0.000 0.000 7.887
1.078 -0.990 5.915
1.167 1.078 1.972
1.078 3.146 -1.972
0.990 1.078 9.859
```

***

Record 9
First-principles (GGA-PBE) data for a geometry-optimized DyUIr2 structure, as listed in the Alexandria database.

Volume, A^3/atom: 20.25
DFT total energy, eV per atom: -9.021
DOS(E_F), states/eV per atom: 0.9468

Geometry as POSCAR:
```
DyUIr2
1.0
3.395 0.000 0.000
0.000 3.395 0.000
0.000 0.000 7.030
Dy U Ir
1 1 2
Cartesian
0.000 0.000 0.000
0.000 0.000 3.515
1.697 1.697 1.879
1.697 1.697 5.150
```

***

Record 10
First-principles (GGA-PBE) data for a geometry-optimized BaSe2Cl structure, as listed in the Alexandria database.

Volume, A^3/atom: 27.24
DOS(E_F), states/eV per atom: 0.3389
ΔE to the lowest computed polymorph, eV per formula unit: 0.32
E_form (uncorrected), meV per atom: -1272

Geometry as POSCAR:
```
BaSe2Cl
1.0
-2.113 2.113 6.100
2.113 -2.113 6.100
2.113 2.113 -6.100
Ba Se Cl
1 2 1
Cartesian
0.000 0.000 0.000
2.113 0.000 3.050
0.000 2.113 3.050
0.000 0.000 6.100
```

***

Record 11
First-principles (GGA-PBE) data for a geometry-optimized Cu4OsW structure, as listed in the Alexandria database.

Volume, A^3/atom: 12.57
DFT total energy, eV per atom: -6.558
DOS(E_F), states/eV per atom: 0.2079

Geometry as POSCAR:
```
Cu4OsW
1.0
0.000 3.353 3.353
3.353 0.000 3.353
3.353 3.353 0.000
Cu Os W
4 1 1
Cartesian
0.840 0.840 0.840
2.513 2.513 0.840
2.513 0.840 2.513
0.840 2.513 2.513
3.353 3.353 3.353
5.030 5.030 5.030
```

***

Record 12
First-principles (GGA-PBE) data for a geometry-optimized Li3TmNp2Se6 structure, as listed in the Alexandria database.

Volume, A^3/atom: 23.31
DOS(E_F), states/eV per atom: 1.8753
E_form (uncorrected), meV per atom: -1346

Geometry as POSCAR:
```
Li3TmNp2Se6
1.0
3.529 -6.112 0.000
3.529 6.112 0.000
-2.352 0.000 6.484
Li Tm Np Se
3 1 2 6
Cartesian
0.000 0.000 0.000
3.529 2.017 0.000
3.529 -2.017 0.000
2.353 0.000 3.242
2.353 4.073 3.242
2.353 -4.073 3.242
1.193 2.008 1.589
0.035 0.000 4.890
1.193 -2.008 1.589
3.513 2.008 4.895
4.672 0.000 1.595
3.513 -2.008 4.895
```

***

Record 13
First-principles (GGA-PBE) data for a geometry-optimized HfGeSCl2 structure, as listed in the Alexandria database.

Volume, A^3/atom: 24.60
DOS(E_F), states/eV per atom: 0.7882
ΔE to the lowest computed polymorph, eV per formula unit: 0.00
E_form (uncorrected), meV per atom: -562

Geometry as POSCAR:
```
HfGeSCl2
1.0
4.968 0.000 0.000
0.000 4.968 0.000
0.000 0.000 4.984
Hf Ge S Cl
1 1 1 2
Cartesian
0.000 0.000 0.000
2.484 2.484 2.492
0.000 0.000 2.492
0.000 2.484 0.000
2.484 0.000 0.000
```

***

Record 14
First-principles (GGA-PBE) data for a geometry-optimized LaZnSn2 structure, as listed in the Alexandria database.

Volume, A^3/atom: 25.96
DFT total energy, eV per atom: -4.071
DOS(E_F), states/eV per atom: 0.4138

Geometry as POSCAR:
```
LaZnSn2
1.0
4.531 0.000 0.000
0.000 4.531 0.000
0.000 0.000 10.116
La Zn Sn
2 2 4
Cartesian
1.133 1.133 2.469
3.398 3.398 7.647
1.133 3.398 0.000
3.398 1.133 0.000
1.133 1.133 8.407
1.133 3.398 5.058
3.398 1.133 5.058
3.398 3.398 1.709
```

***

Record 15
First-principles (GGA-PBE) data for a geometry-optimized Tb5ThAs6 structure, as listed in the Alexandria database.

Volume, A^3/atom: 25.46
DFT total energy, eV per atom: -6.405
DOS(E_F), states/eV per atom: 0.2741

Geometry as POSCAR:
```
Tb5ThAs6
1.0
3.605 -6.237 0.000
3.605 6.237 0.000
-2.407 0.000 6.793
Tb Th As
5 1 6
Cartesian
0.000 0.000 0.000
2.402 4.159 3.397
3.605 2.075 0.000
3.605 -2.075 0.000
2.402 -4.159 3.397
2.402 0.000 3.397
1.193 2.094 1.684
-0.019 0.000 5.101
1.193 -2.094 1.684
3.610 2.094 5.110
4.822 0.000 1.692
3.610 -2.094 5.110
```

***

Record 16
First-principles (GGA-PBE) data for a geometry-optimized Ca3CdPd structure, as listed in the Alexandria database.

Volume, A^3/atom: 28.59
DOS(E_F), states/eV per atom: 0.5445
ΔE to the lowest computed polymorph, eV per formula unit: 0.00

Geometry as POSCAR:
```
Ca3CdPd
1.0
5.014 -3.448 0.000
5.014 3.448 0.000
-4.767 0.000 8.269
Ca Cd Pd
6 2 2
Cartesian
-0.649 0.000 2.211
-0.378 0.000 5.778
2.510 0.000 0.878
2.750 0.000 7.391
5.638 0.000 2.491
5.909 0.000 6.058
2.630 1.407 4.135
2.630 -1.407 4.135
5.014 1.547 0.000
5.014 -1.547 0.000
```

***

Record 17
First-principles (GGA-PBE) data for a geometry-optimized NaCo4Sn2 structure, as listed in the Alexandria database.

Volume, A^3/atom: 17.33
DFT total energy, eV per atom: -4.265
DOS(E_F), states/eV per atom: 1.2461

Geometry as POSCAR:
```
NaCo4Sn2
1.0
-2.145 2.145 6.594
2.145 -2.145 6.594
2.145 2.145 -6.594
Na Co Sn
1 4 2
Cartesian
0.000 0.000 0.000
2.145 0.000 0.000
0.000 0.000 2.416
0.000 2.145 0.000
0.000 0.000 10.771
0.000 0.000 4.929
0.000 0.000 8.258
```

***

Record 18
First-principles (GGA-PBE) data for a geometry-optimized Cd2SiCl structure, as listed in the Alexandria database.

Volume, A^3/atom: 21.71
DOS(E_F), states/eV per atom: 0.4730
ΔE to the lowest computed polymorph, eV per formula unit: 1.06
E_form (uncorrected), meV per atom: 187

Geometry as POSCAR:
```
Cd2SiCl
1.0
2.979 0.000 0.000
0.000 5.248 0.000
0.000 0.000 5.554
Cd Si Cl
2 1 1
Cartesian
0.000 0.000 0.000
1.490 2.624 0.000
0.000 2.624 2.777
1.490 0.000 2.777
```

***

Record 19
First-principles (GGA-PBE) data for a geometry-optimized Sr5In structure, as listed in the Alexandria database.

Volume, A^3/atom: 47.42
DOS(E_F), states/eV per atom: 1.0730
ΔE to the lowest computed polymorph, eV per formula unit: 0.00

Geometry as POSCAR:
```
Sr5In
1.0
7.228 -2.126 0.000
7.228 2.126 0.000
-3.686 0.000 9.261
Sr In
5 1
Cartesian
0.000 0.000 0.000
4.039 0.000 1.973
2.947 0.000 5.863
7.822 0.000 3.398
6.730 0.000 7.288
-1.843 0.000 4.631
```

***

Record 20
First-principles (GGA-PBE) data for a geometry-optimized Dy2BiTe structure, as listed in the Alexandria database.

Volume, A^3/atom: 30.91
DOS(E_F), states/eV per atom: 0.8854
ΔE to the lowest computed polymorph, eV per formula unit: 0.22
E_form (uncorrected), meV per atom: -1034

Geometry as POSCAR:
```
Dy2BiTe
1.0
2.161 1.248 7.645
-2.161 1.248 7.645
0.000 -2.495 7.645
Dy Bi Te
2 1 1
Cartesian
0.000 0.000 0.000
0.000 0.000 3.977
0.000 0.000 13.418
0.000 0.000 17.301
```

***

Record 21
First-principles (GGA-PBE) data for a geometry-optimized CePm2YEr5 structure, as listed in the Alexandria database.

Volume, A^3/atom: 31.57
DFT total energy, eV per atom: -4.698
DOS(E_F), states/eV per atom: 1.6208

Geometry as POSCAR:
```
CePm2YEr5
1.0
-4.286 4.286 7.733
4.286 -4.286 7.733
4.286 4.286 -7.733
Ce Pm Y Er
2 4 2 10
Cartesian
4.286 0.000 3.866
0.000 4.286 3.866
5.313 1.027 0.000
1.027 3.260 0.000
3.260 1.027 7.733
-1.027 3.260 7.733
0.000 0.000 3.866
0.000 0.000 11.599
0.000 0.000 0.000
2.536 1.750 -2.165
2.536 -1.750 5.568
2.536 1.750 2.165
2.536 -1.750 9.897
0.000 0.000 7.733
1.750 6.037 -2.165
1.750 2.536 5.568
1.750 6.037 2.165
1.750 2.536 9.897
```

***

Record 22
First-principles (GGA-PBE) data for a geometry-optimized CePmAsBr structure, as listed in the Alexandria database.

Volume, A^3/atom: 24.64
DOS(E_F), states/eV per atom: 1.6247
E_form (uncorrected), meV per atom: -1160

Geometry as POSCAR:
```
CePmAsBr
1.0
0.000 3.666 3.666
3.666 0.000 3.666
3.666 3.666 0.000
Ce Pm As Br
1 1 1 1
Cartesian
0.000 0.000 0.000
3.666 3.666 3.666
1.833 1.833 1.833
5.499 5.499 5.499
```

***

Record 23
First-principles (GGA-PBE) data for a geometry-optimized CaTl2Au structure, as listed in the Alexandria database.

Volume, A^3/atom: 25.62
DFT total energy, eV per atom: -2.714
DOS(E_F), states/eV per atom: 0.5080

Geometry as POSCAR:
```
CaTl2Au
1.0
2.644 -2.647 0.000
2.644 2.647 0.000
0.000 0.000 7.322
Ca Tl Au
1 2 1
Cartesian
0.000 0.000 0.000
2.644 0.000 2.059
2.644 0.000 5.264
0.000 0.000 3.661
```

***

Record 24
First-principles (GGA-PBE) data for a geometry-optimized Pu3Tl2GaO12 structure, as listed in the Alexandria database.

Volume, A^3/atom: 17.55
DOS(E_F), states/eV per atom: 0.4090
E_form (uncorrected), meV per atom: -2050

Geometry as POSCAR:
```
Pu3Tl2GaO12
1.0
3.944 2.277 5.865
-3.944 2.277 5.865
0.000 -4.554 5.865
Pu Tl Ga O
3 2 1 12
Cartesian
-1.972 -1.138 5.865
-1.972 1.138 11.730
0.000 2.277 5.865
0.000 0.000 2.727
0.000 0.000 14.868
0.000 0.000 8.798
0.000 -1.688 5.349
-1.462 0.844 5.349
-1.435 -0.828 7.696
0.000 -1.657 9.899
-1.435 0.828 9.899
-1.462 -0.844 12.246
1.462 0.844 5.350
1.435 -0.828 7.696
0.000 1.657 7.696
1.435 0.828 9.899
1.462 -0.844 12.246
0.000 1.688 12.246
```

***

Record 25
First-principles (GGA-PBE) data for a geometry-optimized Dy3CdHg structure, as listed in the Alexandria database.

Volume, A^3/atom: 28.27
DOS(E_F), states/eV per atom: 1.2331
ΔE to the lowest computed polymorph, eV per formula unit: 0.64

Geometry as POSCAR:
```
Dy3CdHg
1.0
4.931 -3.854 0.000
4.931 3.854 0.000
-4.073 0.000 14.877
Dy Cd Hg
12 4 4
Cartesian
1.752 1.877 5.406
0.746 1.974 12.570
3.146 0.467 0.604
3.006 1.974 9.746
1.109 -0.467 8.043
6.073 1.877 2.033
-0.284 -1.877 12.844
4.679 0.467 6.834
2.782 -1.974 5.131
2.643 -0.467 14.273
5.043 -1.974 2.307
4.036 -1.877 9.471
-2.114 0.617 12.329
-0.078 -0.617 4.890
5.866 0.617 9.987
7.903 -0.617 2.548
0.000 0.000 0.000
-2.037 0.000 7.438
3.913 0.451 3.719
1.876 -0.451 11.158
```